1.
Crystalline La2Zn6Ag3 at its relaxed geometry. Source: Alexandria, functional PBE-GGA.

Properties
Crystal system = orthorhombic
Final energy = -2.542 eV/atom

Geometry as POSCAR:
```
La2Zn6Ag3
1.0
-0.6359 3.2345 -2.4786
-4.7034 -4.1727 -4.2386
-5.1478 2.7135 4.8617
Zn La Ag
6 2 3
direct
0.5000 0.6184 0.6184
0.5000 0.3816 0.3816
0.5000 0.0471 0.3554
0.5000 0.3554 0.0471
0.5000 0.9529 0.6446
0.5000 0.6446 0.9529
0.0000 0.2868 0.7132
0.0000 0.7132 0.2868
0.0000 0.2070 0.2070
0.0000 0.7930 0.7930
0.5000 0.0000 0.0000
```



2.
Crystalline LaZn3Ag at its relaxed geometry. Source: Alexandria, functional PBE-GGA.

Properties
Crystal system = cubic
Excess energy over the best structure of this formula in the dataset = 1269 meV/atom
Final energy = -1.333 eV/atom

Geometry as POSCAR:
```
LaZn3Ag
1.0
5.7354 0.0000 0.0000
0.0000 5.7354 0.0000
0.0000 0.0000 5.7354
Zn La Ag
3 1 1
direct
0.5000 0.0000 0.0000
0.0000 0.5000 0.0000
0.0000 0.0000 0.5000
0.0000 0.0000 0.0000
0.5000 0.5000 0.5000
```



no.,formation enthalpy at 0 K (eV/atom)
1,-0.1739
2,0.9872